K3Tl3CoF8: optimized geometry, GGA+U.

calculated density = 4.94 g/cm³
total magnetization = 3.00 μB/f.u.
density of states at the Fermi level = 0.0000 states/eV per atom
uncorrected energy = -63.7 eV for the cell shown

Cell lengths 7.564, 7.570, 7.734 Å; angles 119.31, 89.96, 120.03 degrees
Fractional positions:
K: 0.500 0.000 0.500
K: 0.500 0.500 0.500
K: 0.000 0.500 0.500
Tl: 0.000 0.000 0.000
Tl: 0.000 0.500 0.000
Tl: 0.500 0.500 0.000
Co: 0.000 0.000 0.500
F: 0.256 0.512 0.268
F: 0.744 0.488 0.732
F: 0.805 0.609 0.312
F: 0.195 0.391 0.688
F: 0.805 0.008 0.312
F: 0.195 0.992 0.688
F: 0.203 0.007 0.312
F: 0.797 0.993 0.688